The following is a GGA+U calculation of a relaxed AcV2AsO8 crystal, from Alexandria.

a = 5.0354 Å, b = 5.0354 Å, c = 22.2669 Å
α = 90.00°, β = 90.00°, γ = 120.00°
Closest atoms and distances in Å follow each position.
Space group R32 (No. 155, hexagonal axes)
Asymmetric unit:
Ac 0.0000 0.0000 0.0000 [3 per cell]  12 O 2.87-2.91
V 0.0000 0.0000 0.2474 [6 per cell]  4 O 1.72-1.75
As 0.0000 0.0000 0.5000 [3 per cell]  6 O 2.17
O 0.0000 0.0000 0.3248 [6 per cell]  1 V 1.72
O 0.0020 0.3315 0.1050 [18 per cell]  1 V 1.75

Results
total DFT energy (no corrections)	-7.2059	eV per atom
total magnetic moment	0.000	Bohr magnetons per cell